1.
# PBE KHf3Br, relaxed
data_KHf3Br
_chemical_formula_sum 'K1 Hf3 Br1'
_cell_length_a 5.128
_cell_length_b 5.128
_cell_length_c 5.128
_cell_angle_alpha 90.00
_cell_angle_beta 90.00
_cell_angle_gamma 90.00
_symmetry_space_group_name_H-M 'P m -3 m'
_symmetry_Int_Tables_number 221
_symmetry_space_group_name_Hall '-P 4 2 3'
loop_
_atom_site_label
_atom_site_type_symbol
_atom_site_fract_x
_atom_site_fract_y
_atom_site_fract_z
K1 K 0.000 0.000 0.000
Hf1 Hf 0.000 0.500 0.500
Br1 Br 0.500 0.500 0.500
# - energy (eV per formula unit) = -28.01
# - offset from the most stable computed form (eV/atom) = 0.000
# - crystal system = cubic
# - calculated volume (A^3/atom) = 26.974
# - total moment (μB/f.u.) = 0.0

---

2.
# PBE HfSb2Ru2, relaxed
data_HfSb2Ru2
_chemical_formula_sum 'Hf2 Sb4 Ru4'
_cell_length_a 4.106
_cell_length_b 4.106
_cell_length_c 12.028
_cell_angle_alpha 90.00
_cell_angle_beta 90.00
_cell_angle_gamma 90.00
_symmetry_space_group_name_H-M 'I 4/m m m'
_symmetry_Int_Tables_number 139
_symmetry_space_group_name_Hall '-I 4 2'
loop_
_atom_site_label
_atom_site_type_symbol
_atom_site_fract_x
_atom_site_fract_y
_atom_site_fract_z
Hf1 Hf 0.000 0.000 0.000
Sb1 Sb 0.000 0.500 0.250
Ru1 Ru 0.000 0.000 0.399
# - energy (eV per formula unit) = -35.76
# - offset from the most stable computed form (eV/atom) = 0.269
# - crystal system = tetragonal
# - calculated volume (A^3/atom) = 20.278
# - total moment (μB/f.u.) = 0.0

---

3.
# PBE NdPuCuPd, relaxed
data_NdPuCuPd
_chemical_formula_sum 'Nd4 Pu4 Cu4 Pd4'
_cell_length_a 7.129
_cell_length_b 7.129
_cell_length_c 7.129
_cell_angle_alpha 90.00
_cell_angle_beta 90.00
_cell_angle_gamma 90.00
_symmetry_space_group_name_H-M 'F -4 3 m'
_symmetry_Int_Tables_number 216
_symmetry_space_group_name_Hall 'F -4 2 3'
loop_
_atom_site_label
_atom_site_type_symbol
_atom_site_fract_x
_atom_site_fract_y
_atom_site_fract_z
Nd1 Nd 0.000 0.000 0.000
Pu1 Pu 0.000 0.000 0.500
Cu1 Cu 0.250 0.250 0.250
Pd1 Pd 0.250 0.250 0.750
# - energy (eV per formula unit) = -29.42
# - crystal system = cubic
# - calculated volume (A^3/atom) = 22.643
# - total moment (μB/f.u.) = 5.8
# - formation energy from the elements (eV per formula unit) = -1.0

---

4.
# PBE Pm3Y2Tm9, relaxed
data_Pm3Y2Tm9
_chemical_formula_sum 'Pm3 Y2 Tm9'
_cell_length_a 6.244
_cell_length_b 8.649
_cell_length_c 8.739
_cell_angle_alpha 80.02
_cell_angle_beta 75.70
_cell_angle_gamma 87.19
_symmetry_space_group_name_H-M 'P 1'
_symmetry_Int_Tables_number 1
_symmetry_space_group_name_Hall 'P 1'
loop_
_atom_site_label
_atom_site_type_symbol
_atom_site_fract_x
_atom_site_fract_y
_atom_site_fract_z
Pm1 Pm 0.000 0.000 0.000
Pm2 Pm 0.226 0.380 0.779
Pm3 Pm 0.744 0.624 0.234
Y1 Y 0.440 0.957 0.202
Y2 Y 0.566 0.034 0.793
Tm1 Tm 0.073 0.308 0.201
Tm2 Tm 0.188 0.602 0.399
Tm3 Tm 0.326 0.665 0.997
Tm4 Tm 0.454 0.230 0.426
Tm5 Tm 0.463 0.753 0.596
Tm6 Tm 0.639 0.330 0.011
Tm7 Tm 0.785 0.384 0.597
Tm8 Tm 0.891 0.691 0.787
Tm9 Tm 0.914 0.964 0.432
# - energy (eV per formula unit) = -65.84
# - crystal system = triclinic
# - calculated volume (A^3/atom) = 32.167
# - total moment (μB/f.u.) = 0.0
# - formation energy from the elements (eV per formula unit) = 1.6

---

5.
# PBE Ba2LiFe, relaxed
data_Ba2LiFe
_chemical_formula_sum 'Ba4 Li2 Fe2'
_cell_length_a 8.020
_cell_length_b 3.920
_cell_length_c 10.055
_cell_angle_alpha 90.00
_cell_angle_beta 98.32
_cell_angle_gamma 90.00
_symmetry_space_group_name_H-M 'C 1 2/m 1'
_symmetry_Int_Tables_number 12
_symmetry_space_group_name_Hall '-C 2y'
loop_
_atom_site_label
_atom_site_type_symbol
_atom_site_fract_x
_atom_site_fract_y
_atom_site_fract_z
Ba1 Ba 0.234 0.000 0.203
Li1 Li 0.000 0.000 0.500
Fe1 Fe 0.000 0.500 0.000
# - energy (eV per formula unit) = -11.92
# - offset from the most stable computed form (eV/atom) = 0.128
# - crystal system = monoclinic
# - calculated volume (A^3/atom) = 39.098
# - total moment (μB/f.u.) = 1.9
# - formation energy from the elements (eV per formula unit) = 2.3

---

6.
# PBE PrAgRh, relaxed
data_PrAgRh
_chemical_formula_sum 'Pr4 Ag4 Rh4'
_cell_length_a 3.840
_cell_length_b 17.563
_cell_length_c 4.010
_cell_angle_alpha 90.00
_cell_angle_beta 90.00
_cell_angle_gamma 90.00
_symmetry_space_group_name_H-M 'C m c m'
_symmetry_Int_Tables_number 63
_symmetry_space_group_name_Hall '-C 2c 2'
loop_
_atom_site_label
_atom_site_type_symbol
_atom_site_fract_x
_atom_site_fract_y
_atom_site_fract_z
Pr1 Pr 0.000 0.101 0.250
Ag1 Ag 0.000 0.287 0.250
Rh1 Rh 0.000 0.450 0.250
# - energy (eV per formula unit) = -16.23
# - offset from the most stable computed form (eV/atom) = 0.000
# - crystal system = orthorhombic
# - calculated volume (A^3/atom) = 22.540
# - total moment (μB/f.u.) = 0.0
# - formation energy from the elements (eV per formula unit) = -1.2

---

7.
# PBE CeDy2As, relaxed
data_CeDy2As
_chemical_formula_sum 'Ce3 Dy6 As3'
_cell_length_a 3.8318
_cell_length_b 3.8318
_cell_length_c 28.3227
_cell_angle_alpha 90.00
_cell_angle_beta 90.00
_cell_angle_gamma 120.00
_symmetry_space_group_name_H-M 'R -3 m'
_symmetry_Int_Tables_number 166
_symmetry_space_group_name_Hall '-R 3 2"'
loop_
_atom_site_label
_atom_site_type_symbol
_atom_site_fract_x
_atom_site_fract_y
_atom_site_fract_z
Ce1 Ce 0.0000 0.0000 0.0000
Dy1 Dy 0.0000 0.0000 0.2283
As1 As 0.0000 0.0000 0.5000
# - energy (eV per formula unit) = -21.90
# - crystal system = trigonal
# - calculated volume (A^3/atom) = 30.012
# - total moment (μB/f.u.) = 1.6
# - formation energy from the elements (eV per formula unit) = -2.1

---

8.
# PBE ZrCd4Pt, relaxed
data_ZrCd4Pt
_chemical_formula_sum 'Zr4 Cd16 Pt4'
_cell_length_a 7.888
_cell_length_b 7.888
_cell_length_c 7.888
_cell_angle_alpha 90.00
_cell_angle_beta 90.00
_cell_angle_gamma 90.00
_symmetry_space_group_name_H-M 'F -4 3 m'
_symmetry_Int_Tables_number 216
_symmetry_space_group_name_Hall 'F -4 2 3'
loop_
_atom_site_label
_atom_site_type_symbol
_atom_site_fract_x
_atom_site_fract_y
_atom_site_fract_z
Zr1 Zr 0.000 0.000 0.000
Cd1 Cd 0.125 0.125 0.625
Pt1 Pt 0.250 0.250 0.250
# - energy (eV per formula unit) = -17.59
# - crystal system = cubic
# - calculated volume (A^3/atom) = 20.448
# - total moment (μB/f.u.) = 1.9
# - formation energy from the elements (eV per formula unit) = 0.7

---

9.
# PBE Re2SbBr, relaxed
data_Re2SbBr
_chemical_formula_sum 'Re4 Sb2 Br2'
_cell_length_a 3.039
_cell_length_b 5.296
_cell_length_c 10.292
_cell_angle_alpha 90.00
_cell_angle_beta 90.00
_cell_angle_gamma 90.00
_symmetry_space_group_name_H-M 'C m m 2'
_symmetry_Int_Tables_number 35
_symmetry_space_group_name_Hall 'C 2 -2'
loop_
_atom_site_label
_atom_site_type_symbol
_atom_site_fract_x
_atom_site_fract_y
_atom_site_fract_z
Re1 Re 0.000 0.000 0.000
Re2 Re 0.000 0.500 0.192
Sb1 Sb 0.000 0.500 0.758
Br1 Br 0.000 0.000 0.411
# - energy (eV per formula unit) = -27.80
# - offset from the most stable computed form (eV/atom) = 0.485
# - crystal system = orthorhombic
# - calculated volume (A^3/atom) = 20.707
# - total moment (μB/f.u.) = 0.0

---

10.
# PBE Pr2RhCl, relaxed
data_Pr2RhCl
_chemical_formula_sum 'Pr6 Rh3 Cl3'
_cell_length_a 4.0963
_cell_length_b 4.0963
_cell_length_c 23.3556
_cell_angle_alpha 90.00
_cell_angle_beta 90.00
_cell_angle_gamma 120.00
_symmetry_space_group_name_H-M 'R 3 m'
_symmetry_Int_Tables_number 160
_symmetry_space_group_name_Hall 'R 3 -2"'
loop_
_atom_site_label
_atom_site_type_symbol
_atom_site_fract_x
_atom_site_fract_y
_atom_site_fract_z
Pr1 Pr 0.0000 0.0000 0.0000
Pr2 Pr 0.0000 0.0000 0.1985
Rh1 Rh 0.0000 0.0000 0.5993
Cl1 Cl 0.0000 0.0000 0.4293
# - energy (eV per formula unit) = -23.32
# - offset from the most stable computed form (eV/atom) = 0.024
# - crystal system = trigonal
# - calculated volume (A^3/atom) = 28.283
# - total moment (μB/f.u.) = 0.0

---

11.
# PBE Ce2TmIn, relaxed
data_Ce2TmIn
_chemical_formula_sum 'Ce8 Tm4 In4'
_cell_length_a 7.747
_cell_length_b 7.747
_cell_length_c 7.747
_cell_angle_alpha 90.00
_cell_angle_beta 90.00
_cell_angle_gamma 90.00
_symmetry_space_group_name_H-M 'F m -3 m'
_symmetry_Int_Tables_number 225
_symmetry_space_group_name_Hall '-F 4 2 3'
loop_
_atom_site_label
_atom_site_type_symbol
_atom_site_fract_x
_atom_site_fract_y
_atom_site_fract_z
Ce1 Ce 0.250 0.250 0.250
Tm1 Tm 0.000 0.000 0.000
In1 In 0.000 0.000 0.500
# - energy (eV per formula unit) = -19.24
# - offset from the most stable computed form (eV/atom) = 0.204
# - crystal system = cubic
# - calculated volume (A^3/atom) = 29.056
# - total moment (μB/f.u.) = 2.9
# - formation energy from the elements (eV per formula unit) = -0.2

---

12.
# PBE BeSb3Ru, relaxed
data_BeSb3Ru
_chemical_formula_sum 'Be1 Sb3 Ru1'
_cell_length_a 4.762
_cell_length_b 4.762
_cell_length_c 4.762
_cell_angle_alpha 90.00
_cell_angle_beta 90.00
_cell_angle_gamma 90.00
_symmetry_space_group_name_H-M 'P m -3 m'
_symmetry_Int_Tables_number 221
_symmetry_space_group_name_Hall '-P 4 2 3'
loop_
_atom_site_label
_atom_site_type_symbol
_atom_site_fract_x
_atom_site_fract_y
_atom_site_fract_z
Be1 Be 0.000 0.000 0.000
Sb1 Sb 0.000 0.000 0.500
Ru1 Ru 0.500 0.500 0.500
# - energy (eV per formula unit) = -20.71
# - offset from the most stable computed form (eV/atom) = 0.074
# - crystal system = cubic
# - calculated volume (A^3/atom) = 21.602
# - total moment (μB/f.u.) = 0.0

---

13.
# PBE CeAuCl6, relaxed
data_CeAuCl6
_chemical_formula_sum 'Ce1 Au1 Cl6'
_cell_length_a 6.252
_cell_length_b 6.999
_cell_length_c 7.158
_cell_angle_alpha 116.13
_cell_angle_beta 113.60
_cell_angle_gamma 90.24
_symmetry_space_group_name_H-M 'P -1'
_symmetry_Int_Tables_number 2
_symmetry_space_group_name_Hall '-P 1'
loop_
_atom_site_label
_atom_site_type_symbol
_atom_site_fract_x
_atom_site_fract_y
_atom_site_fract_z
Ce1 Ce 0.000 0.000 0.000
Au1 Au 0.500 0.500 0.000
Cl1 Cl 0.029 0.204 0.405
Cl2 Cl 0.279 0.756 0.164
Cl3 Cl 0.410 0.284 0.160
# - energy (eV per formula unit) = -30.17
# - offset from the most stable computed form (eV/atom) = 0.017
# - crystal system = triclinic
# - calculated volume (A^3/atom) = 31.429
# - total moment (μB/f.u.) = 0.9

---

14.
# PBE LiFe2Re, relaxed
data_LiFe2Re
_chemical_formula_sum 'Li4 Fe8 Re4'
_cell_length_a 6.468
_cell_length_b 6.468
_cell_length_c 5.124
_cell_angle_alpha 90.00
_cell_angle_beta 90.00
_cell_angle_gamma 90.00
_symmetry_space_group_name_H-M 'I -4 2 d'
_symmetry_Int_Tables_number 122
_symmetry_space_group_name_Hall 'I -4 2bw'
loop_
_atom_site_label
_atom_site_type_symbol
_atom_site_fract_x
_atom_site_fract_y
_atom_site_fract_z
Li1 Li 0.000 0.000 0.000
Fe1 Fe 0.224 0.250 0.625
Re1 Re 0.000 0.000 0.500
# - energy (eV per formula unit) = -28.20
# - offset from the most stable computed form (eV/atom) = 0.626
# - crystal system = tetragonal
# - calculated volume (A^3/atom) = 13.397
# - total moment (μB/f.u.) = 0.0
# - formation energy from the elements (eV per formula unit) = 3.1

---

15.
# PBE BaVAg2Se, relaxed
data_BaVAg2Se
_chemical_formula_sum 'Ba1 V1 Ag2 Se1'
_cell_length_a 5.645
_cell_length_b 5.645
_cell_length_c 5.170
_cell_angle_alpha 90.00
_cell_angle_beta 90.00
_cell_angle_gamma 90.00
_symmetry_space_group_name_H-M 'P 4/m m m'
_symmetry_Int_Tables_number 123
_symmetry_space_group_name_Hall '-P 4 2'
loop_
_atom_site_label
_atom_site_type_symbol
_atom_site_fract_x
_atom_site_fract_y
_atom_site_fract_z
Ba1 Ba 0.000 0.000 0.000
V1 V 0.000 0.000 0.500
Ag1 Ag 0.000 0.500 0.000
Se1 Se 0.500 0.500 0.500
# - energy (eV per formula unit) = -11.15
# - crystal system = tetragonal
# - calculated volume (A^3/atom) = 32.949
# - total moment (μB/f.u.) = 0.1

---

16.
# PBE MnCdHSe2, relaxed
data_MnCdHSe2
_chemical_formula_sum 'Mn2 Cd2 H2 Se4'
_cell_length_a 12.430
_cell_length_b 4.719
_cell_length_c 3.110
_cell_angle_alpha 90.00
_cell_angle_beta 93.28
_cell_angle_gamma 90.00
_symmetry_space_group_name_H-M 'C 1 m 1'
_symmetry_Int_Tables_number 8
_symmetry_space_group_name_Hall 'C -2y'
loop_
_atom_site_label
_atom_site_type_symbol
_atom_site_fract_x
_atom_site_fract_y
_atom_site_fract_z
Mn1 Mn 0.000 0.000 0.000
Cd1 Cd 0.228 0.000 0.318
H1 H 0.066 0.000 0.514
Se1 Se 0.056 0.500 0.992
Se2 Se 0.347 0.500 0.464
# - energy (eV per formula unit) = -20.90
# - offset from the most stable computed form (eV/atom) = 0.162
# - crystal system = monoclinic
# - calculated volume (A^3/atom) = 18.209
# - total moment (μB/f.u.) = 2.8

---

17.
# PBE YHo4Er2, relaxed
data_YHo4Er2
_chemical_formula_sum 'Y4 Ho16 Er8'
_cell_length_a 18.466
_cell_length_b 5.574
_cell_length_c 10.530
_cell_angle_alpha 90.00
_cell_angle_beta 124.48
_cell_angle_gamma 90.00
_symmetry_space_group_name_H-M 'C 1 m 1'
_symmetry_Int_Tables_number 8
_symmetry_space_group_name_Hall 'C -2y'
loop_
_atom_site_label
_atom_site_type_symbol
_atom_site_fract_x
_atom_site_fract_y
_atom_site_fract_z
Y1 Y 0.000 0.000 0.000
Y2 Y 0.224 0.000 0.756
Ho1 Ho 0.001 0.000 0.682
Ho2 Ho 0.034 0.000 0.372
Ho3 Ho 0.220 0.000 0.065
Ho4 Ho 0.228 0.000 0.380
Ho5 Ho 0.270 0.500 0.610
Ho6 Ho 0.324 0.500 0.008
Ho7 Ho 0.416 0.000 0.757
Ho8 Ho 0.434 0.000 0.112
Er1 Er 0.121 0.500 0.804
Er2 Er 0.122 0.500 0.136
Er3 Er 0.326 0.500 0.327
Er4 Er 0.439 0.000 0.445
# - energy (eV per formula unit) = -33.06
# - offset from the most stable computed form (eV/atom) = 0.000
# - crystal system = monoclinic
# - calculated volume (A^3/atom) = 31.906
# - total moment (μB/f.u.) = 0.0
# - formation energy from the elements (eV per formula unit) = 0.8

---

18.
# PBE Y5AlCu2, relaxed
data_Y5AlCu2
_chemical_formula_sum 'Y20 Al4 Cu8'
_cell_length_a 7.818
_cell_length_b 7.818
_cell_length_c 13.123
_cell_angle_alpha 90.00
_cell_angle_beta 90.00
_cell_angle_gamma 90.00
_symmetry_space_group_name_H-M 'I 4/m c m'
_symmetry_Int_Tables_number 140
_symmetry_space_group_name_Hall '-I 4 2c'
loop_
_atom_site_label
_atom_site_type_symbol
_atom_site_fract_x
_atom_site_fract_y
_atom_site_fract_z
Y1 Y 0.000 0.000 0.000
Y2 Y 0.160 0.340 0.145
Al1 Al 0.000 0.000 0.250
Cu1 Cu 0.126 0.374 0.500
# - energy (eV per formula unit) = -46.01
# - crystal system = tetragonal
# - calculated volume (A^3/atom) = 25.065
# - total moment (μB/f.u.) = 0.0
# - formation energy from the elements (eV per formula unit) = -1.8